Record 1
Compound: Er2Co3NiGe4
Source: Alexandria
Functional: PBE-GGA
Structure: relaxed

Calculated values
* space group: P-4m2 (115)
* mass density: 9.07 g cm⁻³
* E: -0.4448 Ry/atom
* total magnetization: 0.069 μB/atom
* DOS at the Fermi energy: 8.180 states/eV/f.u.
* energy of formation: -0.582 eV/atom

a = 4.0240 Å, b = 4.0240 Å, c = 9.7293 Å
α = 90.00°, β = 90.00°, γ = 90.00°
Closest atoms and distances in Å follow each position.
Element x y z (fractional)
Ge  0.0000  0.0000  0.0000  4 Co 2.37
Ge  0.5000  0.0000  0.6334  3 Co 2.31-2.39, 2 Ni 2.39
Ge  0.5000  0.5000  0.0000  4 Co 2.37
Ge  0.0000  0.5000  0.3666  3 Co 2.31-2.39, 2 Ni 2.39
Ni  0.5000  0.5000  0.5000  4 Ge 2.39
Co  0.0000  0.5000  0.1289  5 Ge 2.31-2.37
Co  0.5000  0.0000  0.8711  5 Ge 2.31-2.37
Co  0.0000  0.0000  0.5000  4 Ge 2.39
Er  0.0000  0.5000  0.7538  6 Co 3.07-3.19, 8 Ge 3.08-3.13, 2 Ni 3.19
Er  0.5000  0.0000  0.2462  6 Co 3.07-3.19, 8 Ge 3.08-3.13, 2 Ni 3.19



Record 2
Compound: TbTi5
Source: Alexandria
Functional: PBE-GGA
Structure: relaxed

Calculated values
* space group: Cmmm (65)
* mass density: 5.72 g cm⁻³
* E: -0.5259 Ry/atom
* total magnetization: 0.000 μB/atom
* DOS at the Fermi energy: 9.991 states/eV/f.u.
* energy of formation: 0.196 eV/atom

a = 4.2189 Å, b = 4.1732 Å, c = 6.8875 Å
α = 107.63°, β = 90.00°, γ = 90.00°
Closest atoms and distances in Å follow each position.
Element x y z (fractional)
Ti  0.5000  0.5000  0.0000  4 Tb 2.97, 8 Ti 3.11-3.15
Ti  0.0000  0.3219  0.6438  10 Ti 2.81-3.15, 2 Tb 3.13
Ti  0.5000  0.8247  0.6495  10 Ti 2.86-3.11, 2 Tb 3.12
Ti  0.5000  0.1753  0.3505  10 Ti 2.86-3.11, 2 Tb 3.12
Ti  0.0000  0.6781  0.3562  10 Ti 2.81-3.15, 2 Tb 3.13
Tb  0.0000  0.0000  0.0000  12 Ti 2.97-3.13



Record 3
Compound: YInSi3
Source: Alexandria
Functional: PBE-GGA
Structure: relaxed

Calculated values
* space group: Pm-3m (221)
* mass density: 3.13 g cm⁻³
* E: -0.3055 Ry/atom
* total magnetization: 0.000 μB/atom
* energy relative to the elements, uncorrected: 90 kJ per mole of atoms
* DOS at the Fermi energy: 2.063 states/eV/f.u.

a = 5.3464 Å, b = 5.3464 Å, c = 5.3464 Å
α = 90.00°, β = 90.00°, γ = 90.00°
Closest atoms and distances in Å follow each position.
Element x y z (fractional)
Si  0.0000  0.0000  0.5000  2 Y 2.67
Si  0.0000  0.5000  0.0000  2 Y 2.67
Si  0.5000  0.0000  0.0000  2 Y 2.67
Y  0.0000  0.0000  0.0000  6 Si 2.67
In  0.5000  0.5000  0.5000  12 Si 3.78



Record 4
Compound: PaTl3Bi3Se8
Source: Alexandria
Functional: PBE-GGA
Structure: relaxed

Calculated values
* space group: R-3m (166)
* mass density: 7.14 g cm⁻³
* E: -0.3220 Ry/atom
* total magnetization: 0.045 μB/atom
* energy relative to the elements, uncorrected: -62 kJ per mole of atoms
* DOS at the Fermi energy: 4.906 states/eV/f.u.

a = 8.5117 Å, b = 8.5072 Å, c = 9.2193 Å
α = 117.44°, β = 90.00°, γ = 120.02°
Closest atoms and distances in Å follow each position.
Element x y z (fractional)
Bi  0.5000  0.5000  0.5000  6 Se 2.98
Bi  0.5000  0.0000  0.5000  6 Se 2.98
Bi  0.0000  0.5000  0.5000  6 Se 2.98
Se  0.7705  0.5410  0.2931  1 Pa 2.86, 2 Bi 2.98
Se  0.2612  0.5224  0.2837  3 Bi 2.98, 3 Tl 3.31
Se  0.7388  0.4776  0.7163  3 Bi 2.98, 3 Tl 3.31
Se  0.7479  0.9774  0.7069  1 Pa 2.86, 2 Bi 2.98
Se  0.7706  0.0228  0.2932  1 Pa 2.86, 2 Bi 2.98
Se  0.2521  0.0226  0.2931  1 Pa 2.86, 2 Bi 2.98
Se  0.2295  0.4590  0.7069  1 Pa 2.86, 2 Bi 2.98
Se  0.2294  0.9772  0.7068  1 Pa 2.86, 2 Bi 2.98
Tl  0.0000  0.0000  0.0000  6 Se 3.31-3.32
Tl  0.5000  0.5000  0.0000  6 Se 3.31-3.33
Tl  0.0000  0.5000  0.0000  6 Se 3.31-3.33
Pa  0.0000  0.0000  0.5000  6 Se 2.86



Record 5
Compound: LaBiSbI2
Source: Alexandria
Functional: PBE-GGA
Structure: relaxed

Calculated values
* space group: P4/mmm (123)
* mass density: 4.86 g cm⁻³
* E: -0.2511 Ry/atom
* total magnetization: 0.198 μB/atom
* energy relative to the elements, uncorrected: -20 kJ per mole of atoms
* DOS at the Fermi energy: 1.041 states/eV/f.u.

a = 6.1006 Å, b = 6.1006 Å, c = 6.6440 Å
α = 90.00°, β = 90.00°, γ = 90.00°
Closest atoms and distances in Å follow each position.
Element x y z (fractional)
La  0.0000  0.0000  0.0000  4 I 3.05, 2 Sb 3.32
I  0.0000  0.5000  0.0000  2 La 3.05
I  0.5000  0.0000  0.0000  2 La 3.05
Bi  0.5000  0.5000  0.5000  4 Sb 4.31, 8 I 4.51
Sb  0.0000  0.0000  0.5000  2 La 3.32



Record 6
Compound: Rb4Y3HfS8
Source: Alexandria
Functional: PBE-GGA
Structure: relaxed

Calculated values
* space group: R-3m (166)
* mass density: 4.07 g cm⁻³
* E: -0.4315 Ry/atom
* total magnetization: 0.000 μB/atom
* energy relative to the elements, uncorrected: -167 kJ per mole of atoms
* DOS at the Fermi energy: 4.303 states/eV/f.u.

a = 7.9963 Å, b = 8.9717 Å, c = 7.9964 Å
α = 116.48°, β = 120.00°, γ = 90.00°
Closest atoms and distances in Å follow each position.
Element x y z (fractional)
S  0.2214  0.6896  0.4428  1 Hf 2.63, 2 Y 2.78
S  0.7320  0.6958  0.4640  3 Y 2.76
S  0.7471  0.6896  0.9684  1 Hf 2.63, 2 Y 2.78
S  0.7786  0.3104  0.5572  1 Hf 2.63, 2 Y 2.78
S  0.2680  0.3042  0.5360  3 Y 2.76
S  0.2529  0.3104  0.0316  1 Hf 2.63, 2 Y 2.78
S  0.7786  0.3104  0.0316  1 Hf 2.63, 2 Y 2.78
S  0.2214  0.6896  0.9684  1 Hf 2.63, 2 Y 2.78
Hf  0.0000  0.5000  0.0000  6 S 2.63
Y  0.0000  0.5000  0.5000  6 S 2.76-2.78
Y  0.5000  0.5000  0.0000  6 S 2.76-2.78
Y  0.5000  0.5000  0.5000  6 S 2.76-2.78
Rb  0.0000  0.0000  0.0000  6 S 3.28-3.29
Rb  0.0000  0.0000  0.5000  6 S 3.28-3.29
Rb  0.5000  0.0000  0.5000  6 S 3.28-3.29
Rb  0.5000  0.0000  0.0000  6 S 3.40